[1]
# Cd2CuMo, relaxed, DFT PBE
# * energy relative to the lowest polymorph listed for this composition: 0.60 eV per formula unit
# * crystal system: orthorhombic
data_Cd2CuMo
_space_group_name_H-M_alt 'P m m 2'
_space_group_IT_number 25
_cell_length_a 2.818
_cell_length_b 4.028
_cell_length_c 6.137
_cell_angle_alpha 90.00
_cell_angle_beta 90.00
_cell_angle_gamma 90.00
loop_
_space_group_symop_operation_xyz
'x,y,z'
'-x,-y,z'
'-x,y,z'
'x,-y,z'
loop_
_atom_site_label
_atom_site_type_symbol
_atom_site_fract_x
_atom_site_fract_y
_atom_site_fract_z
Cd1 Cd 0.000 0.000 0.000
Cd2 Cd 0.500 0.500 0.281
Cu1 Cu 0.000 0.000 0.540
Mo1 Mo 0.500 0.500 0.743

---

[2]
# CdCuMo2, relaxed, DFT PBE
# * crystal system: tetragonal
data_CdCuMo2
_space_group_name_H-M_alt 'P 4/m m m'
_space_group_IT_number 123
_space_group_name_Hall '-P 4 2'
_cell_length_a 2.738
_cell_length_b 2.738
_cell_length_c 8.435
_cell_angle_alpha 90.00
_cell_angle_beta 90.00
_cell_angle_gamma 90.00
loop_
_atom_site_label
_atom_site_type_symbol
_atom_site_fract_x
_atom_site_fract_y
_atom_site_fract_z
Cd1 Cd 0.000 0.000 0.000
Cu1 Cu 0.000 0.000 0.500
Mo1 Mo 0.500 0.500 0.277

---

no.,energy relative to the elements (eV/atom)
1,0.4002
2,0.3593